[1]
Entry from the Alexandria database: DyTmHgPt after structural relaxation (PBE).

## Properties
ΔE_f = -0.882 eV/atom
Space group = P4mm

Lattice parameters (Å, degrees): 3.545 3.545 7.346 90.00 90.00 90.00
Element x y z (fractional)
Dy (0.000, 0.000, 0.000)
Tm (0.000, 0.000, 0.550)
Hg (0.500, 0.500, 0.280)
Pt (0.500, 0.500, 0.768)

---

[2]
Entry from the Alexandria database: PrGeI2 after structural relaxation (PBE).

## Properties
Space group = R-3m
Uncorrected formation energy = -3.9 kJ per mole of atoms

Lattice parameters (Å, degrees): 10.764 10.764 10.764 21.22 21.22 21.22
Element x y z (fractional)
Pr (0.000, 0.000, 0.000)
Ge (0.500, 0.500, 0.500)
I (0.099, 0.099, 0.099)
I (0.901, 0.901, 0.901)

---

[3]
Entry from the Alexandria database: HfZn3Cl after structural relaxation (PBE).

## Properties
Space group = Pm-3m
Uncorrected formation energy = 77.2 kJ per mole of atoms

Lattice parameters (Å, degrees): 4.756 4.756 4.756 90.00 90.00 90.00
Element x y z (fractional)
Hf (0.000, 0.000, 0.000)
Zn (0.000, 0.500, 0.500)
Zn (0.500, 0.000, 0.500)
Zn (0.500, 0.500, 0.000)
Cl (0.500, 0.500, 0.500)

---

[4]
Entry from the Alexandria database: Hf5Fe4Pt after structural relaxation (PBE).

## Properties
ΔE_f = -0.450 eV/atom
Space group = P4/mmm

Lattice parameters (Å, degrees): 3.143 3.143 16.254 90.00 90.00 90.00
Element x y z (fractional)
Hf (0.000, 0.000, 0.000)
Hf (0.000, 0.000, 0.194)
Hf (0.000, 0.000, 0.387)
Hf (0.000, 0.000, 0.613)
Hf (0.000, 0.000, 0.806)
Fe (0.500, 0.500, 0.096)
Fe (0.500, 0.500, 0.291)
Fe (0.500, 0.500, 0.709)
Fe (0.500, 0.500, 0.904)
Pt (0.500, 0.500, 0.500)

---

Calculated values (states/eV/atom) of Fermi-level density of states for the records, taken in order: 0.665, 0.785, 0.805, 0.620.